# 1
This record from the Alexandria database describes a geometry-optimized BiPb2Cl structure. The functional is PBE.

The space group is P4/mmm (No. 123) and the conventional cell measures 3.871, 3.871 and 8.065 Å, with angles of 90.00, 90.00 and 90.00 degrees. The distinct sites, in fractional coordinates, are Bi at (0.000, 0.000, 0.000), Pb at (0.500, 0.500, 0.250) and Cl at (0.000, 0.000, 0.500).

The calculation puts the theoretical density at 9.052 g/cm3. The value obtained for the relative energy among the computed polymorphs is 41 meV per atom. The uncorrected formation energy comes out at -0.31 eV/atom. The total energy comes out at -3.60 eV/atom.



# 2
This record from the Alexandria database describes a geometry-optimized Y2Al3Ga2 structure. The functional is PBE.

The space group is C2/m (No. 12) and the conventional cell measures 10.473, 4.183 and 6.593 Å, with angles of 90.00, 100.59 and 90.00 degrees. The distinct sites, in fractional coordinates, are Y at (0.119, 0.000, 0.325), Al at (0.000, 0.500, 0.000), Al at (0.198, 0.000, 0.866) and Ga at (0.095, 0.500, 0.649).

The calculation puts the theoretical density at 4.658 g/cm3. The calculation puts the energy of formation from the pure elements at -495 meV/atom. The total energy comes out at -4.81 eV/atom.



# 3
This record from the Alexandria database describes a geometry-optimized NaPmPt structure. The functional is PBE.

The space group is F-43m (No. 216) and the conventional cell measures 6.854, 6.854 and 6.854 Å, with angles of 90.00, 90.00 and 90.00 degrees. The distinct sites, in fractional coordinates, are Na at (0.000, 0.000, 0.000), Pm at (0.000, 0.000, 0.500) and Pt at (0.250, 0.250, 0.250).

The calculation puts the theoretical density at 7.491 g/cm3. The value obtained for the relative energy among the computed polymorphs is 0 meV per atom. The calculation puts the energy of formation from the pure elements at -525 meV/atom. The total energy comes out at -4.56 eV/atom.



# 4
This record from the Alexandria database describes a geometry-optimized RbIn2HgAu structure. The functional is PBE.

The space group is P4/mmm (No. 123) and the conventional cell measures 5.285, 5.285 and 6.733 Å, with angles of 90.00, 90.00 and 90.00 degrees. The distinct sites, in fractional coordinates, are Rb at (0.000, 0.000, 0.000), In at (0.000, 0.500, 0.500), Hg at (0.500, 0.500, 0.000) and Au at (0.000, 0.000, 0.500).

The calculation puts the theoretical density at 6.293 g/cm3. The value obtained for the relative energy among the computed polymorphs is 0 meV per atom. The calculation puts the energy of formation from the pure elements at -49 meV/atom. The total energy comes out at -2.05 eV/atom.



# 5
This record from the Alexandria database describes a geometry-optimized SrHf2Sb2 structure. The functional is PBE.

The space group is I4/mmm (No. 139) and the conventional cell measures 4.410, 4.410 and 14.226 Å, with angles of 90.00, 90.00 and 90.00 degrees. The distinct sites, in fractional coordinates, are Sr at (0.000, 0.000, 0.000), Hf at (0.000, 0.500, 0.250) and Sb at (0.000, 0.000, 0.385).

The calculation puts the theoretical density at 8.261 g/cm3. The value obtained for the relative energy among the computed polymorphs is 0 meV per atom. The uncorrected formation energy comes out at -0.53 eV/atom. The total energy comes out at -6.50 eV/atom.



# 6
This record from the Alexandria database describes a geometry-optimized Mg2AlBIr structure. The functional is PBE.

The space group is P4/mmm (No. 123) and the conventional cell measures 4.395, 4.395 and 4.052 Å, with angles of 90.00, 90.00 and 90.00 degrees. The distinct sites, in fractional coordinates, are Mg at (0.000, 0.500, 0.000), Al at (0.000, 0.000, 0.500), B at (0.000, 0.000, 0.000) and Ir at (0.500, 0.500, 0.500).

The calculation puts the theoretical density at 5.912 g/cm3. The calculation puts the energy of formation from the pure elements at 299 meV/atom. The total energy comes out at -4.20 eV/atom.